Gd3BiIr after structural relaxation, computed with PBE.

a = 5.4162 Å, b = 5.4162 Å, c = 5.4162 Å
α = 90.00°, β = 90.00°, γ = 90.00°
With the nearest neighbours (Å) after each atom.
Sites, in units of the cell vectors:
Gd: 0.0000 0.0000 0.5000  2 Ir 2.71
Gd: 0.0000 0.5000 0.0000  2 Ir 2.71
Gd: 0.5000 0.0000 0.0000  2 Ir 2.71
Bi: 0.5000 0.5000 0.5000  12 Gd 3.83
Ir: 0.0000 0.0000 0.0000  6 Gd 2.71

**Final energy**: -57.843 eV/cell
**V**: 158.9 Å³/f.u.
**Calculated formation energy**: -0.57 eV/atom

SmDyEr3Sc after structural relaxation, computed with PBE.

a = 7.8054 Å, b = 7.8054 Å, c = 9.8904 Å
α = 90.00°, β = 90.00°, γ = 143.12°
With the nearest neighbours (Å) after each atom.
Sites, in units of the cell vectors:
Sm: 0.0020 0.9980 0.7500  6 Er 3.48-3.54, 2 Sc 3.49, 4 Dy 3.49
Sm: 0.9980 0.0020 0.2500  6 Er 3.48-3.54, 2 Sc 3.49, 4 Dy 3.49
Dy: 0.5000 0.5000 0.0000  4 Sm 3.49, 6 Er 3.51-3.52, 2 Sc 3.51
Dy: 0.5000 0.5000 0.5000  4 Sm 3.49, 6 Er 3.51-3.52, 2 Sc 3.51
Er: 0.1680 0.8320 0.9997  5 Er 3.45-3.50, 3 Sc 3.47-3.49, 2 Sm 3.48-3.53, 2 Dy 3.51
Er: 0.1680 0.8320 0.5003  5 Er 3.45-3.50, 3 Sc 3.47-3.49, 2 Sm 3.48-3.53, 2 Dy 3.51
Er: 0.3305 0.6695 0.7500  2 Sc 3.45, 6 Er 3.45-3.50, 2 Dy 3.52, 2 Sm 3.54
Er: 0.6695 0.3305 0.2500  2 Sc 3.45, 6 Er 3.45-3.50, 2 Dy 3.52, 2 Sm 3.54
Er: 0.8320 0.1680 0.0003  5 Er 3.45-3.50, 3 Sc 3.47-3.49, 2 Sm 3.48-3.53, 2 Dy 3.51
Er: 0.8320 0.1680 0.4997  5 Er 3.45-3.50, 3 Sc 3.47-3.49, 2 Sm 3.48-3.53, 2 Dy 3.51
Sc: 0.3319 0.6681 0.2500  8 Er 3.45-3.49, 2 Sm 3.49, 2 Dy 3.51
Sc: 0.6681 0.3319 0.7500  8 Er 3.45-3.49, 2 Sm 3.49, 2 Dy 3.51

**Final energy**: -58.232 eV/cell
**V**: 180.8 Å³/f.u.
**Calculated formation energy**: 0.04 eV/atom

TbThGe2 after structural relaxation, computed with PBE.

a = 4.4038 Å, b = 4.4038 Å, c = 19.7139 Å
α = 90.00°, β = 90.00°, γ = 120.00°
With the nearest neighbours (Å) after each atom.
Sites, in units of the cell vectors:
Tb: 0.0000 0.0000 0.0000  6 Ge 2.91-3.03
Tb: 0.3333 0.6667 0.6667  6 Ge 2.91-3.03
Tb: 0.6667 0.3333 0.3333  6 Ge 2.91-3.03
Th: 0.0000 0.0000 0.1753  6 Ge 3.05-3.12
Th: 0.3333 0.6667 0.8420  6 Ge 3.05-3.12
Th: 0.6667 0.3333 0.5086  6 Ge 3.05-3.12
Ge: 0.0000 0.0000 0.5945  3 Tb 2.91, 3 Th 3.05, 1 Ge 3.07
Ge: 0.0000 0.0000 0.7503  3 Tb 3.03, 1 Ge 3.07, 3 Th 3.12
Ge: 0.3333 0.6667 0.2612  3 Tb 2.91, 3 Th 3.05, 1 Ge 3.07
Ge: 0.3333 0.6667 0.4170  3 Tb 3.03, 1 Ge 3.07, 3 Th 3.12
Ge: 0.6667 0.3333 0.0837  3 Tb 3.03, 1 Ge 3.07, 3 Th 3.12
Ge: 0.6667 0.3333 0.9279  3 Tb 2.91, 3 Th 3.05, 1 Ge 3.07

**Final energy**: -70.970 eV/cell
**V**: 110.4 Å³/f.u.
**Calculated formation energy**: -0.59 eV/atom

TbSc3B4O12 after structural relaxation, computed with PBE.

a = 6.2609 Å, b = 6.2609 Å, c = 6.2609 Å
α = 103.33°, β = 103.33°, γ = 103.33°
With the nearest neighbours (Å) after each atom.
Sites, in units of the cell vectors:
Tb: 0.0000 0.0000 0.0000  6 O 2.39
Sc: 0.0000 0.5450 0.4550  6 O 2.10-2.13
Sc: 0.4550 0.0000 0.5450  6 O 2.10-2.13
Sc: 0.5450 0.4550 0.0000  6 O 2.10-2.13
B: 0.0455 0.5000 0.9545  3 O 1.38-1.39
B: 0.5000 0.5000 0.5000  3 O 1.38
B: 0.5000 0.9545 0.0455  3 O 1.38-1.39
B: 0.9545 0.0455 0.5000  3 O 1.38-1.39
O: 0.0296 0.6352 0.8077  1 B 1.39
O: 0.0949 0.9051 0.5000  1 B 1.38
O: 0.1923 0.3648 0.9704  1 B 1.39
O: 0.3594 0.6406 0.5000  1 B 1.38
O: 0.3648 0.9704 0.1923  1 B 1.39
O: 0.5000 0.0949 0.9051  1 B 1.38
O: 0.5000 0.3594 0.6406  1 B 1.38
O: 0.6352 0.8077 0.0296  1 B 1.39
O: 0.6406 0.5000 0.3594  1 B 1.38
O: 0.8077 0.0296 0.6352  1 B 1.39
O: 0.9051 0.5000 0.0949  1 B 1.38
O: 0.9704 0.1923 0.3648  1 B 1.39

**Final energy**: -170.576 eV/cell
**ΔE_f (raw)**: -3.04 eV per atom
**V**: 221.7 Å³/f.u.

TmMgTiTc after structural relaxation, computed with PBE.

a = 6.7122 Å, b = 6.7122 Å, c = 6.7122 Å
α = 90.00°, β = 90.00°, γ = 90.00°
With the nearest neighbours (Å) after each atom.
Sites, in units of the cell vectors:
Tm: 0.0000 0.0000 0.0000  4 Mg 2.91, 4 Tc 2.91
Tm: 0.0000 0.5000 0.5000  4 Mg 2.91, 4 Tc 2.91
Tm: 0.5000 0.0000 0.5000  4 Mg 2.91, 4 Tc 2.91
Tm: 0.5000 0.5000 0.0000  4 Mg 2.91, 4 Tc 2.91
Mg: 0.2500 0.2500 0.2500  4 Tm 2.91, 4 Ti 2.91
Mg: 0.2500 0.7500 0.7500  4 Tm 2.91, 4 Ti 2.91
Mg: 0.7500 0.2500 0.7500  4 Tm 2.91, 4 Ti 2.91
Mg: 0.7500 0.7500 0.2500  4 Tm 2.91, 4 Ti 2.91
Ti: 0.0000 0.0000 0.5000  4 Tc 2.91, 4 Mg 2.91
Ti: 0.0000 0.5000 0.0000  4 Tc 2.91, 4 Mg 2.91
Ti: 0.5000 0.0000 0.0000  4 Tc 2.91, 4 Mg 2.91
Ti: 0.5000 0.5000 0.5000  4 Tc 2.91, 4 Mg 2.91
Tc: 0.2500 0.2500 0.7500  4 Tm 2.91, 4 Ti 2.91
Tc: 0.2500 0.7500 0.2500  4 Tm 2.91, 4 Ti 2.91
Tc: 0.7500 0.2500 0.2500  4 Tm 2.91, 4 Ti 2.91
Tc: 0.7500 0.7500 0.7500  4 Ti 2.91, 4 Tm 2.91

**Final energy**: -97.405 eV/cell
**V**: 75.6 Å³/f.u.
**Calculated formation energy**: -0.01 eV/atom

Sr4Tl3Pb after structural relaxation, computed with PBE.

a = 8.2408 Å, b = 8.2486 Å, c = 9.1686 Å
α = 90.00°, β = 116.63°, γ = 90.00°
With the nearest neighbours (Å) after each atom.
Sites, in units of the cell vectors:
Sr: 0.1238 0.2500 0.2476  6 Tl 3.54-3.58, 2 Pb 3.57-3.58
Sr: 0.1238 0.7500 0.2476  6 Tl 3.54-3.58, 2 Pb 3.57-3.58
Sr: 0.3762 0.2500 0.7524  6 Tl 3.54-3.58, 2 Pb 3.57-3.58
Sr: 0.3762 0.7500 0.7524  6 Tl 3.54-3.58, 2 Pb 3.57-3.58
Sr: 0.6238 0.2500 0.2476  6 Tl 3.54-3.58, 2 Pb 3.57-3.58
Sr: 0.6238 0.7500 0.2476  6 Tl 3.54-3.58, 2 Pb 3.57-3.58
Sr: 0.8762 0.2500 0.7524  6 Tl 3.54-3.58, 2 Pb 3.57-3.58
Sr: 0.8762 0.7500 0.7524  6 Tl 3.54-3.58, 2 Pb 3.57-3.58
Tl: 0.0000 0.0000 0.5000  8 Sr 3.57-3.58
Tl: 0.2485 0.0000 0.9974  8 Sr 3.54-3.57
Tl: 0.2515 0.5000 0.0026  8 Sr 3.54-3.57
Tl: 0.5000 0.5000 0.5000  8 Sr 3.57-3.58
Tl: 0.7485 0.5000 0.9974  8 Sr 3.54-3.57
Tl: 0.7515 0.0000 0.0026  8 Sr 3.54-3.57
Pb: 0.0000 0.5000 0.5000  8 Sr 3.57-3.58
Pb: 0.5000 0.0000 0.5000  8 Sr 3.57-3.58

**Final energy**: -42.451 eV/cell
**V**: 278.6 Å³/f.u.
**Calculated formation energy**: -0.46 eV/atom

AgHPd3 after structural relaxation, computed with PBE.

a = 5.4981 Å, b = 5.6064 Å, c = 5.6773 Å
α = 105.24°, β = 104.17°, γ = 118.01°
With the nearest neighbours (Å) after each atom.
Sites, in units of the cell vectors:
Ag: 0.0000 0.0000 0.0000  1 H 2.42
Ag: 0.0038 0.0064 0.5032  2 Ag 2.84, 10 Pd 2.85-2.92
H: 0.2823 0.5420 0.2364  3 Pd 1.81-1.99
H: 0.6711 0.3169 0.0007  4 Pd 1.79-1.84
Pd: 0.4185 0.9138 0.8303  1 H 1.79
Pd: 0.4301 0.9367 0.3401  1 H 1.81
Pd: 0.4925 0.5132 0.0018  2 H 1.79-1.99
Pd: 0.5055 0.5023 0.5028  1 H 1.84
Pd: 0.9201 0.4311 0.8302  1 H 1.84
Pd: 0.9295 0.4317 0.3436  2 H 1.83-2.04

**Final energy**: -44.104 eV/cell
**V**: 67.2 Å³/f.u.

DyMgPb after structural relaxation, computed with PBE.

a = 4.4505 Å, b = 4.4505 Å, c = 16.0858 Å
α = 90.00°, β = 90.00°, γ = 90.00°
With the nearest neighbours (Å) after each atom.
Sites, in units of the cell vectors:
Dy: 0.0000 0.0000 0.1644  5 Pb 3.17, 4 Mg 3.46
Dy: 0.0000 0.0000 0.8356  5 Pb 3.17, 4 Mg 3.46
Dy: 0.5000 0.5000 0.3356  5 Pb 3.17, 4 Mg 3.46
Dy: 0.5000 0.5000 0.6644  5 Pb 3.17, 4 Mg 3.46
Mg: 0.0000 0.5000 0.0000  4 Pb 3.15, 4 Mg 3.15, 4 Dy 3.46
Mg: 0.0000 0.5000 0.5000  4 Pb 3.15, 4 Mg 3.15, 4 Dy 3.46
Mg: 0.5000 0.0000 0.0000  4 Pb 3.15, 4 Mg 3.15, 4 Dy 3.46
Mg: 0.5000 0.0000 0.5000  4 Pb 3.15, 4 Mg 3.15, 4 Dy 3.46
Pb: 0.0000 0.0000 0.3617  4 Mg 3.15, 5 Dy 3.17
Pb: 0.0000 0.0000 0.6383  4 Mg 3.15, 5 Dy 3.17
Pb: 0.5000 0.5000 0.1383  4 Mg 3.15, 5 Dy 3.17
Pb: 0.5000 0.5000 0.8617  4 Mg 3.15, 5 Dy 3.17

**Final energy**: -44.649 eV/cell
**V**: 79.7 Å³/f.u.
**Calculated formation energy**: -0.42 eV/atom

Question: Number 7 is which compound?
Answer: AgHPd3

Question: Which of these has the highest V?
Answer: Sr4Tl3Pb

Question: Look up the V of the first one.
Answer: 158.9 Å³/f.u.